VASP calculation (GGA-PBE) on a relaxed structure of TaInSi2.

Results
Calculated volume, Å³ per cell: 227
Calculated total energy, Ry per atom: -0.4474

a = 2.9828 Å, b = 2.9828 Å, c = 29.4885 Å
α = 90.00°, β = 90.00°, γ = 120.00°
Space group R-3m (No. 166, hexagonal axes)
Unique sites:
Ta  0.0000  0.0000  0.0000 (multiplicity 3)
In  0.0000  0.0000  0.5000 (multiplicity 3)
Si  0.0000  0.0000  0.2621 (multiplicity 6)